1.
The following is a PBE calculation of a relaxed LiSi2Pt2 crystal, from Alexandria via LeMat-Bulk.

It has space group I4/mmm (No. 139), with a = 3.954 Å, b = 3.954 Å, c = 10.834 Å, α = 90.00°, β = 90.00° and γ = 90.00°. The distinct sites, in fractional coordinates, are Li at (0.000, 0.000, 0.000), Si at (0.000, 0.500, 0.250) and Pt at (0.000, 0.000, 0.375).

For the density of states at the Fermi level, the calculation gives 3.47 states/eV per cell. As for the energy relative to the elements, uncorrected: -0.5719 eV per atom.



2.
The following is a PBE calculation of a relaxed LiSiPt2 crystal, from Alexandria via LeMat-Bulk.

It has space group I-42d (No. 122), with a = 6.883 Å, b = 6.883 Å, c = 5.438 Å, α = 90.00°, β = 90.00° and γ = 90.00°. The distinct sites, in fractional coordinates, are Li at (0.000, 0.000, 0.000), Si at (0.000, 0.000, 0.500) and Pt at (0.200, 0.250, 0.625).

For the density of states at the Fermi level, the calculation gives 6.69 states/eV per cell. As for the energy relative to the elements, uncorrected: -0.4687 eV per atom.



3.
The following is a PBE calculation of a relaxed Li3SiPt crystal, from Alexandria via LeMat-Bulk.

It has space group Pm-3m (No. 221), with a = 4.606 Å, b = 4.606 Å, c = 4.606 Å, α = 90.00°, β = 90.00° and γ = 90.00°. The distinct sites, in fractional coordinates, are Li at (0.000, 0.000, 0.500), Si at (0.500, 0.500, 0.500) and Pt at (0.000, 0.000, 0.000).

The value obtained for the offset from the most stable computed form is 328 meV per atom. For the density of states at the Fermi level, the calculation gives 1.89 states/eV per cell. As for the energy relative to the elements, uncorrected: 0.2435 eV per atom.



4.
The following is a PBE calculation of a relaxed LiSiPt2 crystal, from Alexandria via LeMat-Bulk.

It has space group Pm (No. 6), with a = 2.810 Å, b = 4.416 Å, c = 4.808 Å, α = 90.00°, β = 104.44° and γ = 90.00°. The distinct sites, in fractional coordinates, are Li at (0.000, 0.000, 0.000), Si at (0.387, 0.500, 0.726), Pt at (0.280, 0.000, 0.530) and Pt at (0.668, 0.500, 0.239).

For the density of states at the Fermi level, the calculation gives 1.33 states/eV per cell. As for the energy relative to the elements, uncorrected: -0.6126 eV per atom.



5.
The following is a PBE calculation of a relaxed LiSi2Pt2 crystal, from Alexandria via LeMat-Bulk.

It has space group I4/mmm (No. 139), with a = 4.068 Å, b = 4.068 Å, c = 9.940 Å, α = 90.00°, β = 90.00° and γ = 90.00°. The distinct sites, in fractional coordinates, are Li at (0.000, 0.000, 0.000), Si at (0.000, 0.000, 0.385) and Pt at (0.000, 0.500, 0.250).

For the density of states at the Fermi level, the calculation gives 3.01 states/eV per cell. As for the energy relative to the elements, uncorrected: -0.6431 eV per atom.



6.
The following is a PBE calculation of a relaxed Li3SiPt4 crystal, from Alexandria via LeMat-Bulk.

It has space group C2/m (No. 12), with a = 5.901 Å, b = 5.906 Å, c = 6.588 Å, α = 90.00°, β = 116.48° and γ = 90.00°. The distinct sites, in fractional coordinates, are Li at (0.000, 0.000, 0.000), Li at (0.247, 0.000, 0.494), Si at (0.000, 0.500, 0.000) and Pt at (0.127, 0.250, 0.753).

For the density of states at the Fermi level, the calculation gives 1.83 states/eV per cell. As for the energy relative to the elements, uncorrected: -0.7241 eV per atom.



The records above give, respectively, uncorrected energy values of -5.5402; -5.3233; -3.1975; -5.4673; -5.6114; -5.1401 eV per atom.